Entry from the Alexandria database: a relaxed K3Pr3VO8 crystal (PBE+U).

Cell lengths 7.065, 7.035, 7.522 Å; angles 118.07, 90.00, 120.14 degrees
Last column: magnetic moment on the atom in μB.
Sites, in units of the cell vectors:
1 Pr 0.500 0.500 0.500  0.00
2 Pr 0.500 0.000 0.500  0.00
3 Pr 0.000 0.500 0.500  0.00
4 K 0.000 0.500 0.000  0.00
5 K 0.500 0.500 0.000  0.00
6 K 0.000 0.000 0.000  0.00
7 O 0.797 0.030 0.327  -0.01
8 O 0.804 0.608 0.332  -0.03
9 O 0.767 0.970 0.673  -0.01
10 O 0.233 0.030 0.327  -0.01
11 O 0.267 0.535 0.305  0.00
12 O 0.203 0.970 0.673  -0.01
13 O 0.196 0.392 0.668  -0.03
14 O 0.733 0.465 0.695  0.00
15 V 0.000 0.000 0.500  1.03

Summary:
For the final energy, the calculation gives -6.75 eV/atom.